Record 1
First-principles (PBE) data for a geometry-optimized BC2 structure, as listed in the Alexandria database.

The structure in POSCAR format:
```
BC2
1.0
5.996 -1.249 0.000
5.996 1.249 0.000
-1.195 0.000 5.108
B C
4 8
Cartesian
0.000 0.000 0.000 B
-0.459 0.000 2.513 B
3.328 0.000 3.406 B
7.276 0.000 0.230 B
2.701 0.000 1.861 C
2.106 0.000 4.475 C
3.902 0.000 0.842 C
6.707 0.000 2.788 C
7.242 0.000 4.223 C
7.835 0.000 1.756 C
10.764 0.000 1.038 C
10.336 0.000 3.562 C
```

Properties
E above lowest polymorph   91 meV/atom
Total DFT energy (no corrections)   -96.52 eV/cell
Formation enthalpy at 0 K   0.33 eV per atom
Crystal system   monoclinic

---

Record 2
First-principles (PBE) data for a geometry-optimized TaHgSe2N structure, as listed in the Alexandria database.

The structure in POSCAR format:
```
TaHgSe2N
1.0
5.226 0.000 0.000
0.000 5.226 0.000
0.000 0.000 3.900
Ta Hg Se N
1 1 2 1
Cartesian
0.000 0.000 0.000 Ta
2.613 2.613 1.950 Hg
0.000 2.613 1.950 Se
2.613 0.000 1.950 Se
2.613 2.613 0.000 N
```

Properties
E above lowest polymorph   1753 meV/atom
Total DFT energy (no corrections)   -18.80 eV/cell
Crystal system   tetragonal

---

Record 3
First-principles (PBE) data for a geometry-optimized FeAgSb2 structure, as listed in the Alexandria database.

The structure in POSCAR format:
```
FeAgSb2
1.0
1.711 0.988 8.166
-1.711 0.988 8.166
0.000 -1.976 8.166
Fe Ag Sb
1 1 2
Cartesian
0.000 0.000 0.000 Fe
0.000 0.000 12.249 Ag
0.000 0.000 6.419 Sb
0.000 0.000 18.079 Sb
```

Properties
E above lowest polymorph   0 meV/atom
Total DFT energy (no corrections)   -18.92 eV/cell
Crystal system   trigonal

---

Record 4
First-principles (PBE) data for a geometry-optimized Cs2K2Au2O structure, as listed in the Alexandria database.

The structure in POSCAR format:
```
Cs2K2Au2O
1.0
8.299 -2.267 0.000
8.299 2.267 0.000
-3.888 0.000 7.129
Cs K Au O
2 2 2 1
Cartesian
-0.727 0.000 1.866 Cs
13.436 0.000 5.263 Cs
2.011 0.000 6.247 K
10.698 0.000 0.882 K
4.388 0.000 2.264 Au
8.322 0.000 4.865 Au
8.299 0.000 0.000 O
```

Properties
Total DFT energy (no corrections)   -19.57 eV/cell
Crystal system   monoclinic

---

Record 5
First-principles (PBE) data for a geometry-optimized LiH3Pb structure, as listed in the Alexandria database.

The structure in POSCAR format:
```
LiH3Pb
1.0
3.805 0.000 0.000
0.000 3.805 0.000
0.000 0.000 3.805
Li H Pb
1 3 1
Cartesian
0.000 0.000 0.000 Li
0.000 0.000 1.903 H
0.000 1.903 0.000 H
1.903 0.000 0.000 H
1.903 1.903 1.903 Pb
```

Properties
E above lowest polymorph   0 meV/atom
Total DFT energy (no corrections)   -14.83 eV/cell
Crystal system   cubic

---

Record 6
First-principles (PBE) data for a geometry-optimized Tm6InS4 structure, as listed in the Alexandria database.

The structure in POSCAR format:
```
Tm6InS4
1.0
1.931 -6.462 0.000
1.931 6.462 0.000
0.000 0.000 19.759
Tm In S
12 2 8
Cartesian
0.000 0.000 0.000 Tm
0.000 0.000 9.879 Tm
1.931 4.544 14.819 Tm
1.931 2.960 1.680 Tm
1.931 2.960 8.199 Tm
1.931 0.518 13.006 Tm
1.931 0.518 16.632 Tm
1.931 -0.518 3.126 Tm
1.931 -0.518 6.753 Tm
1.931 -2.960 11.560 Tm
1.931 -2.960 18.078 Tm
1.931 -4.544 4.940 Tm
1.931 4.304 4.940 In
1.931 -4.304 14.819 In
1.931 5.257 12.262 S
1.931 5.257 17.376 S
1.931 1.783 10.647 S
1.931 1.783 18.991 S
1.931 -1.783 0.768 S
1.931 -1.783 9.112 S
1.931 -5.257 2.383 S
1.931 -5.257 7.497 S
```

Properties
Total DFT energy (no corrections)   -125.52 eV/cell
Crystal system   orthorhombic

---

Record 7
First-principles (PBE) data for a geometry-optimized Li2Ga12Rh structure, as listed in the Alexandria database.

The structure in POSCAR format:
```
Li2Ga12Rh
1.0
5.834 0.000 0.000
0.000 5.834 0.000
0.000 0.000 16.666
Li Ga Rh
4 24 2
Cartesian
1.459 4.376 3.885 Li
1.459 4.376 12.780 Li
4.376 1.459 3.885 Li
4.376 1.459 12.780 Li
0.000 5.834 6.828 Ga
5.834 0.000 9.837 Ga
5.834 2.917 6.828 Ga
0.000 2.917 9.837 Ga
0.383 3.300 1.163 Ga
0.383 5.451 15.503 Ga
1.459 1.459 2.688 Ga
1.459 1.459 5.132 Ga
1.459 1.459 11.534 Ga
1.459 1.459 13.978 Ga
2.534 3.300 15.503 Ga
2.534 5.451 1.163 Ga
2.917 0.000 6.828 Ga
2.917 5.834 9.837 Ga
2.917 2.917 6.828 Ga
2.917 2.917 9.837 Ga
3.300 0.383 15.503 Ga
3.300 2.534 1.163 Ga
4.376 4.376 2.688 Ga
4.376 4.376 5.132 Ga
4.376 4.376 11.534 Ga
4.376 4.376 13.978 Ga
5.451 0.383 1.163 Ga
5.451 2.534 15.503 Ga
1.459 4.376 8.333 Rh
4.376 1.459 8.333 Rh
```

Properties
Total DFT energy (no corrections)   -100.19 eV/cell
Formation enthalpy at 0 K   -0.17 eV per atom
Crystal system   tetragonal

---

Record 8
First-principles (PBE) data for a geometry-optimized KIr2Pt structure, as listed in the Alexandria database.

The structure in POSCAR format:
```
KIr2Pt
1.0
0.000 3.275 3.275
3.275 0.000 3.275
3.275 3.275 0.000
K Ir Pt
1 2 1
Cartesian
0.000 0.000 0.000 K
1.638 1.638 1.638 Ir
3.275 3.275 3.275 Ir
4.913 4.913 4.913 Pt
```

Properties
E above lowest polymorph   761 meV/atom
Total DFT energy (no corrections)   -20.55 eV/cell
Formation enthalpy at 0 K   1.08 eV per atom
Crystal system   cubic

---

Record 9
First-principles (PBE) data for a geometry-optimized La3Sn13Ru4 structure, as listed in the Alexandria database.

The structure in POSCAR format:
```
La3Sn13Ru4
1.0
9.869 0.000 0.000
0.000 9.869 0.000
0.000 0.000 9.869
La Sn Ru
6 26 8
Cartesian
0.000 2.467 4.935 La
0.000 7.402 4.935 La
2.467 4.935 0.000 La
4.935 0.000 2.467 La
4.935 0.000 7.402 La
7.402 4.935 0.000 La
0.000 0.000 0.000 Sn
0.000 2.971 1.528 Sn
0.000 2.971 8.342 Sn
0.000 6.898 1.528 Sn
0.000 6.898 8.342 Sn
1.528 0.000 2.971 Sn
1.528 0.000 6.898 Sn
1.964 4.935 3.407 Sn
1.964 4.935 6.462 Sn
2.971 1.528 0.000 Sn
2.971 8.342 0.000 Sn
3.407 1.964 4.935 Sn
3.407 7.905 4.935 Sn
4.935 3.407 1.964 Sn
4.935 3.407 7.905 Sn
4.935 4.935 4.935 Sn
4.935 6.462 1.964 Sn
4.935 6.462 7.905 Sn
6.462 1.964 4.935 Sn
6.462 7.905 4.935 Sn
6.898 1.528 0.000 Sn
6.898 8.342 0.000 Sn
7.905 4.935 3.407 Sn
7.905 4.935 6.462 Sn
8.342 0.000 2.971 Sn
8.342 0.000 6.898 Sn
2.467 2.467 2.467 Ru
2.467 2.467 7.402 Ru
2.467 7.402 2.467 Ru
2.467 7.402 7.402 Ru
7.402 2.467 2.467 Ru
7.402 2.467 7.402 Ru
7.402 7.402 2.467 Ru
7.402 7.402 7.402 Ru
```

Properties
Total DFT energy (no corrections)   -226.36 eV/cell
Formation enthalpy at 0 K   -0.46 eV per atom
Crystal system   cubic

---

Record 10
First-principles (PBE) data for a geometry-optimized AlPtBr2 structure, as listed in the Alexandria database.

The structure in POSCAR format:
```
AlPtBr2
1.0
3.528 -1.599 0.000
3.528 1.599 0.000
-2.482 0.000 8.942
Al Pt Br
1 1 2
Cartesian
0.000 0.000 0.000 Al
5.000 0.000 1.364 Pt
0.806 0.000 7.058 Br
2.789 0.000 3.185 Br
```

Properties
E above lowest polymorph   0 meV/atom
Total DFT energy (no corrections)   -15.07 eV/cell
Crystal system   monoclinic

---

Record 11
First-principles (PBE) data for a geometry-optimized Be2SBr structure, as listed in the Alexandria database.

The structure in POSCAR format:
```
Be2SBr
1.0
4.921 0.000 0.000
0.482 5.006 0.000
0.311 2.495 7.928
Be S Br
4 2 2
Cartesian
0.000 0.000 0.000 Be
0.492 1.547 1.543 Be
2.219 4.762 1.542 Be
2.237 1.303 0.001 Be
1.357 3.153 0.587 S
3.578 0.647 1.419 S
1.601 5.659 3.460 Br
3.891 3.149 6.189 Br
```

Properties
E above lowest polymorph   142 meV/atom
Total DFT energy (no corrections)   -31.01 eV/cell
Crystal system   triclinic

---

Record 12
First-principles (PBE) data for a geometry-optimized InSe2S structure, as listed in the Alexandria database.

The structure in POSCAR format:
```
InSe2S
1.0
2.020 1.166 7.872
-2.020 1.166 7.872
0.000 -2.332 7.872
In Se S
1 2 1
Cartesian
0.000 0.000 0.000 In
0.000 0.000 9.423 Se
0.000 0.000 14.192 Se
0.000 0.000 11.808 S
```

Properties
E above lowest polymorph   0 meV/atom
Total DFT energy (no corrections)   -13.88 eV/cell
Crystal system   trigonal

---

Record 13
First-principles (PBE) data for a geometry-optimized SrHg3Pb structure, as listed in the Alexandria database.

The structure in POSCAR format:
```
SrHg3Pb
1.0
9.925 -2.424 0.000
9.925 2.424 0.000
-2.130 0.000 6.165
Sr Hg Pb
2 6 2
Cartesian
0.968 0.000 2.069 Sr
16.751 0.000 4.096 Sr
0.798 0.000 5.515 Hg
5.529 0.000 2.130 Hg
8.758 0.000 1.330 Hg
8.961 0.000 4.835 Hg
12.190 0.000 4.035 Hg
16.921 0.000 0.650 Hg
4.076 0.000 4.875 Pb
13.643 0.000 1.290 Pb
```

Properties
E above lowest polymorph   11 meV/atom
Total DFT energy (no corrections)   -15.33 eV/cell
Formation enthalpy at 0 K   -0.27 eV per atom
Crystal system   monoclinic

---

Record 14
First-principles (PBE) data for a geometry-optimized Tb3Cd2Ir structure, as listed in the Alexandria database.

The structure in POSCAR format:
```
Tb3Cd2Ir
1.0
2.535 -7.628 0.000
2.535 7.628 0.000
0.000 0.000 7.534
Tb Cd Ir
6 4 2
Cartesian
0.000 0.000 1.760 Tb
0.000 0.000 5.775 Tb
2.535 2.669 1.667 Tb
2.535 2.669 5.867 Tb
2.535 -2.669 1.667 Tb
2.535 -2.669 5.867 Tb
2.535 5.115 3.767 Cd
2.535 0.000 0.000 Cd
2.535 0.000 3.767 Cd
2.535 -5.115 3.767 Cd
2.535 5.263 0.000 Ir
2.535 -5.263 0.000 Ir
```

Properties
Total DFT energy (no corrections)   -55.31 eV/cell
Formation enthalpy at 0 K   -0.51 eV per atom
Crystal system   orthorhombic

---

Record 15
First-principles (PBE) data for a geometry-optimized Li2MgAs structure, as listed in the Alexandria database.

The structure in POSCAR format:
```
Li2MgAs
1.0
5.985 0.000 0.000
0.000 4.136 0.000
-2.675 0.000 5.822
Li Mg As
4 2 2
Cartesian
0.136 1.034 1.173 Li
1.991 3.102 0.551 Li
1.320 1.034 5.270 Li
3.174 3.102 4.648 Li
0.057 3.102 3.378 Mg
3.253 1.034 2.443 Mg
-1.219 1.034 4.749 As
4.530 3.102 1.073 As
```

Properties
E above lowest polymorph   0 meV/atom
Total DFT energy (no corrections)   -24.42 eV/cell
Formation enthalpy at 0 K   -0.54 eV per atom
Crystal system   monoclinic

---

Record 16
First-principles (PBE) data for a geometry-optimized AcCe2Tl7 structure, as listed in the Alexandria database.

The structure in POSCAR format:
```
AcCe2Tl7
1.0
-2.697 2.697 11.405
2.697 -2.697 11.405
2.697 2.697 -11.405
Ac Ce Tl
1 2 7
Cartesian
0.000 0.000 0.000 Ac
0.000 0.000 7.498 Ce
0.000 0.000 15.312 Ce
2.697 0.000 2.171 Tl
2.697 0.000 5.703 Tl
2.697 0.000 9.235 Tl
0.000 0.000 11.405 Tl
0.000 2.697 2.171 Tl
0.000 2.697 5.703 Tl
0.000 2.697 9.235 Tl
```

Properties
Total DFT energy (no corrections)   -32.97 eV/cell
Formation enthalpy at 0 K   -0.04 eV per atom
Crystal system   tetragonal

---

Record 17
First-principles (PBE) data for a geometry-optimized SnBi2P2 structure, as listed in the Alexandria database.

The structure in POSCAR format:
```
SnBi2P2
1.0
-2.242 2.242 6.701
2.242 -2.242 6.701
2.242 2.242 -6.701
Sn Bi P
1 2 2
Cartesian
0.000 0.000 0.000 Sn
2.242 0.000 3.350 Bi
0.000 2.242 3.350 Bi
0.000 0.000 5.630 P
0.000 0.000 7.772 P
```

Properties
E above lowest polymorph   132 meV/atom
Total DFT energy (no corrections)   -20.65 eV/cell
Formation enthalpy at 0 K   0.39 eV per atom
Crystal system   tetragonal

---

Record 18
First-principles (PBE) data for a geometry-optimized NaAcCdBr6 structure, as listed in the Alexandria database.

The structure in POSCAR format:
```
NaAcCdBr6
1.0
7.457 0.000 0.000
-3.729 6.458 0.000
0.000 0.000 13.346
Na Ac Cd Br
2 2 2 12
Cartesian
0.000 0.000 0.000 Na
0.000 0.000 6.673 Na
0.000 4.306 3.337 Ac
3.729 2.153 10.010 Ac
0.000 4.306 10.010 Cd
3.729 2.153 3.337 Cd
-1.160 2.310 8.367 Br
-2.308 4.299 11.653 Br
1.160 2.310 11.653 Br
-1.149 6.308 8.367 Br
2.580 0.151 1.693 Br
1.420 2.159 4.980 Br
2.308 4.299 8.367 Br
1.149 6.308 11.653 Br
4.877 0.151 4.980 Br
2.569 4.149 1.693 Br
6.037 2.159 1.693 Br
4.888 4.149 4.980 Br
```

Properties
Total DFT energy (no corrections)   -59.74 eV/cell
Crystal system   trigonal

---

Record 19
First-principles (PBE) data for a geometry-optimized SrCu2Sb2 structure, as listed in the Alexandria database.

The structure in POSCAR format:
```
SrCu2Sb2
1.0
7.980 0.000 0.000
0.000 7.980 0.000
0.000 0.000 3.486
Sr Cu Sb
2 4 4
Cartesian
0.000 0.000 0.000 Sr
3.990 3.990 0.000 Sr
0.884 3.106 0.000 Cu
3.106 7.097 0.000 Cu
4.874 0.884 0.000 Cu
7.097 4.874 0.000 Cu
1.396 5.386 1.743 Sb
2.594 1.396 1.743 Sb
5.386 6.584 1.743 Sb
6.584 2.594 1.743 Sb
```

Properties
Total DFT energy (no corrections)   -38.02 eV/cell
Crystal system   tetragonal

---

Record 20
First-principles (PBE) data for a geometry-optimized BeRe2MoPd structure, as listed in the Alexandria database.

The structure in POSCAR format:
```
BeRe2MoPd
1.0
4.688 0.000 0.000
0.000 4.688 0.000
0.000 0.000 4.794
Be Re Mo Pd
1 2 1 1
Cartesian
0.000 0.000 0.000 Be
0.000 2.344 2.397 Re
2.344 0.000 2.397 Re
2.344 2.344 2.397 Mo
2.344 2.344 0.000 Pd
```

Properties
Total DFT energy (no corrections)   -33.57 eV/cell
Formation enthalpy at 0 K   2.22 eV per atom
Crystal system   tetragonal